Below is a geometry-optimized InGe2Pd7 structure, with properties calculated at the PBE-GGA level.

Summary:
* crystal system: orthorhombic
* symmetry: Cmmm (65)
* final energy: -49.9 eV/cell

Cell lengths 4.433, 7.067, 7.067 Å; angles 117.37, 90.00, 90.00 degrees
Positions (direct):
Ge 0.500 0.699 0.301
Pd 0.500 0.500 0.500
Pd 0.000 0.777 0.223
Ge 0.500 0.301 0.699
In 0.000 0.000 0.000
Pd 0.500 0.692 0.933
Pd 0.500 0.933 0.692
Pd 0.500 0.067 0.308
Pd 0.000 0.223 0.777
Pd 0.500 0.308 0.067